1.
Entry from Alexandria: a relaxed LiC2O crystal (PBE).

Cell lengths 2.5234, 2.7616, 9.9632 Å; angles 90.00, 90.00, 90.00 degrees
Last column: nearest neighbours and their distance in Å.
Space group Imm2 (No. 44)
Inequivalent atoms, fractional coordinates:
1 Li 0.0000 0.0000 0.0000 x2  4 O 2.09
2 C 0.0000 0.0000 0.2751 x2  1 O 1.31, 2 C 1.46
3 C 0.0000 0.5000 0.7011 x2  2 C 1.46
4 O 0.0000 0.0000 0.4066 x2  1 C 1.31

- uncorrected formation energy (eV/atom) = -0.23
- calculated total energy (eV per atom) = -6.56
- magnetic moment (μB per formula unit) = 0.25

***

2.
Entry from Alexandria: a relaxed HoCd3Ag4 crystal (PBE).

Cell lengths 14.2254, 4.9463, 4.9601 Å; angles 90.00, 110.39, 90.00 degrees
Last column: nearest neighbours and their distance in Å.
Space group C2/m (No. 12)
Inequivalent atoms, fractional coordinates:
1 Ho 0.0000 0.0000 0.0000 x2  6 Ag 3.01-3.32, 4 Cd 3.11
2 Cd 0.0000 0.5000 0.5000 x2  6 Ag 3.01-3.35, 4 Cd 3.11-3.13
3 Cd 0.1419 0.5000 0.1396 x4  5 Ag 2.86-3.05, 2 Cd 3.11-3.13, 2 Ho 3.11
4 Ag 0.1292 0.0000 0.6305 x4  4 Ag 2.94-2.96, 3 Cd 3.01-3.05, 2 Ho 3.01-3.03
5 Ag 0.2489 0.0000 0.2513 x4  4 Cd 2.86-2.88, 4 Ag 2.94-2.96

- ΔE_f (meV per atom) = -136
- calculated total energy (eV per atom) = -2.48
- magnetic moment (μB per formula unit) = 0.00

***

3.
Entry from Alexandria: a relaxed MgCdP2Cl crystal (PBE).

Cell lengths 4.9481, 4.9481, 5.3468 Å; angles 90.00, 90.00, 90.00 degrees
Last column: nearest neighbours and their distance in Å.
Space group P4/mmm (No. 123)
Inequivalent atoms, fractional coordinates:
1 Mg 0.0000 0.0000 0.0000 x1  4 Cl 3.50, 8 P 3.64
2 Cd 0.5000 0.5000 0.5000 x1  4 P 2.47, 2 Cl 2.67
3 P 0.0000 0.5000 0.5000 x2  2 Cd 2.47
4 Cl 0.5000 0.5000 0.0000 x1  2 Cd 2.67

- uncorrected formation energy (eV/atom) = 0.55
- calculated total energy (eV per atom) = -2.48
- magnetic moment (μB per formula unit) = 0.68